(1)
MgHgOs3: relaxed, PBE-GGA.

## Properties
- density (g/cm3) = 14.3
- polymorph energy (0 for the lowest one) (eV/f.u.) = 0.00
- V (Å³/cell) = 92.5
- energy relative to the elements (meV per atom) = 2355

Cell and atoms, written as CIF:
```
data_MgHgOs3
_chemical_formula_sum 'Mg1 Hg1 Os3'
_space_group_name_H-M_alt 'P m -3 m'
_space_group_IT_number 221
_space_group_name_Hall '-P 4 2 3'
_cell_length_a 4.523
_cell_length_b 4.523
_cell_length_c 4.523
_cell_angle_alpha 90.00
_cell_angle_beta 90.00
_cell_angle_gamma 90.00
loop_
_atom_site_label
_atom_site_type_symbol
_atom_site_fract_x
_atom_site_fract_y
_atom_site_fract_z
_atom_site_occupancy
Mg1 Mg 0.000 0.000 0.000 1
Hg1 Hg 0.500 0.500 0.500 1
Os1 Os 0.000 0.000 0.500 1
```

---

(2)
MgAu2: relaxed, PBE-GGA.

## Properties
- density (g/cm3) = 12.8
- V (Å³/cell) = 108.8
- energy relative to the elements (meV per atom) = -467

Cell and atoms, written as CIF:
```
data_MgAu2
_chemical_formula_sum 'Mg2 Au4'
_space_group_name_H-M_alt 'C 1 2/m 1'
_space_group_IT_number 12
_cell_length_a 4.949
_cell_length_b 4.957
_cell_length_c 5.070
_cell_angle_alpha 90.00
_cell_angle_beta 118.94
_cell_angle_gamma 90.00
loop_
_space_group_symop_operation_xyz
'x,y,z'
'-x,-y,-z'
'-x,y,-z'
'x,-y,z'
'x+1/2,y+1/2,z'
'-x+1/2,-y+1/2,-z'
'-x+1/2,y+1/2,-z'
'x+1/2,-y+1/2,z'
loop_
_atom_site_label
_atom_site_type_symbol
_atom_site_fract_x
_atom_site_fract_y
_atom_site_fract_z
_atom_site_occupancy
Mg1 Mg 0.000 0.000 0.000 1
Au1 Au 0.161 0.500 0.322 1
```

---

(3)
PrSc2Pa: relaxed, PBE-GGA.

## Properties
- density (g/cm3) = 7.1
- polymorph energy (0 for the lowest one) (eV/f.u.) = 0.06
- V (Å³/cell) = 108.2
- energy relative to the elements (meV per atom) = 116

Cell and atoms, written as CIF:
```
data_PrSc2Pa
_chemical_formula_sum 'Pr1 Sc2 Pa1'
_space_group_name_H-M_alt 'P 4/m m m'
_space_group_IT_number 123
_space_group_name_Hall '-P 4 2'
_cell_length_a 3.358
_cell_length_b 3.358
_cell_length_c 9.591
_cell_angle_alpha 90.00
_cell_angle_beta 90.00
_cell_angle_gamma 90.00
loop_
_atom_site_label
_atom_site_type_symbol
_atom_site_fract_x
_atom_site_fract_y
_atom_site_fract_z
_atom_site_occupancy
Pr1 Pr 0.000 0.000 0.000 1
Sc1 Sc 0.500 0.500 0.272 1
Pa1 Pa 0.000 0.000 0.500 1
```

---

(4)
NpIn3Br6: relaxed, PBE-GGA.

## Properties
- density (g/cm3) = 4.6
- polymorph energy (0 for the lowest one) (eV/f.u.) = 0.00
- V (Å³/cell) = 757.8
- uncorrected formation energy (eV/atom) = -0.93

Cell and atoms, written as CIF:
```
data_NpIn3Br6
_chemical_formula_sum 'Np2 In6 Br12'
_space_group_name_H-M_alt 'P 1 21/c 1'
_space_group_IT_number 14
_cell_length_a 7.717
_cell_length_b 8.718
_cell_length_c 13.184
_cell_angle_alpha 90.00
_cell_angle_beta 121.32
_cell_angle_gamma 90.00
loop_
_space_group_symop_operation_xyz
'x,y,z'
'-x,-y,-z'
'-x,y+1/2,-z+1/2'
'x,-y+1/2,z+1/2'
loop_
_atom_site_label
_atom_site_type_symbol
_atom_site_fract_x
_atom_site_fract_y
_atom_site_fract_z
_atom_site_occupancy
Np1 Np 0.000 0.000 0.000 1
In1 In 0.301 0.082 0.772 1
In2 In 0.500 0.000 0.500 1
Br1 Br 0.089 0.070 0.237 1
Br2 Br 0.240 0.722 0.082 1
Br3 Br 0.359 0.166 0.046 1
```

---

Q: Which of these has the lowest density?
A: NpIn3Br6

---

Q: Which formula does entry 3 have?
A: PrSc2Pa